w | {"formula": "Sr2TeN", "functional": "PBE", "state": "relaxed", "magmom_total_mub_per_cell": 1.00, "vol_a3_per_cell": 107.3, "cell": [[-2.465, -4.414, -1.698], [-4.673, -1.433, 2.133], [-4.474, 0.384, -2.877]], "species": ["Sr", "Sr", "Te", "N"], "fractional_positions": [[0.750, 0.750, 0.750], [0.250, 0.250, 0.250], [0.500, 0.500, 0.500], [0.000, 0.000, 0.000]]}

x | {"formula": "Sr2TeN", "functional": "PBE", "state": "relaxed", "magmom_total_mub_per_cell": 0.00, "vol_a3_per_cell": 118.7, "cell": [[3.859, 0.000, 0.000], [1.929, 3.342, 0.000], [1.929, 1.114, 9.208]], "species": ["Sr", "Sr", "Te", "N"], "fractional_positions": [[0.882, 0.882, 0.353], [0.118, 0.118, 0.647], [0.000, 0.000, 0.000], [0.500, 0.500, 0.500]]}

y | {"formula": "Sr2TeN", "functional": "PBE", "state": "relaxed", "magmom_total_mub_per_cell": 4.01, "vol_a3_per_cell": 579.2, "cell": [[-6.115, 3.352, 3.642], [-6.536, -4.424, -6.901], [-0.597, -5.619, 4.169]], "species": ["Sr", "Sr", "Sr", "Sr", "Sr", "Sr", "Sr", "Sr", "Te", "Te", "Te", "Te", "N", "N", "N", "N"], "fractional_positions": [[0.348, 0.821, 0.309], [0.848, 0.321, 0.191], [0.277, 0.321, 0.191], [0.348, 0.679, 0.809], [0.777, 0.679, 0.809], [0.277, 0.179, 0.691], [0.777, 0.821, 0.309], [0.848, 0.179, 0.691], [0.563, 0.399, 0.833], [0.563, 0.101, 0.333], [0.063, 0.899, 0.667], [0.063, 0.601, 0.167], [0.063, 0.262, 0.452], [0.563, 0.738, 0.548], [0.063, 0.238, 0.952], [0.563, 0.762, 0.048]]}

Most stable structure, least stable structure: y, w.

w | {"formula": "SrTlTeN2", "functional": "PBE", "state": "relaxed", "magmom_total_mub_per_cell": 4.36, "vol_a3_per_cell": 164.5, "cell": [[-1.988, 1.838, -4.172], [-4.430, -1.853, 1.295], [-1.438, 5.661, 3.179]], "species": ["N", "N", "Tl", "Te", "Sr"], "fractional_positions": [[0.000, 0.500, 0.000], [0.500, 0.000, 0.000], [0.500, 0.500, 0.500], [0.000, 0.000, 0.500], [0.000, 0.000, 0.000]]}

x | {"formula": "SrTlTeN2", "functional": "PBE", "state": "relaxed", "magmom_total_mub_per_cell": 3.12, "vol_a3_per_cell": 131.5, "cell": [[-1.129, 3.672, 2.615], [1.129, -2.379, 3.829], [5.717, 2.051, -0.411]], "species": ["Te", "N", "N", "Sr", "Tl"], "fractional_positions": [[0.000, 0.000, 0.500], [0.000, 0.500, 0.000], [0.500, 0.000, 0.000], [0.500, 0.500, 0.500], [0.000, 0.000, 0.000]]}

Most stable structure, least stable structure: x, w.